(1)
! PBE-GGA Na2GaBI, optimized geometry; values from VASP
! - space-group type = P4/mmm, No. 123
! - size of the total moment (μB per atom) = 0.000
! - raw formation energy (meV per atom) = 927
! - E_tot (hartree per atom) = -0.0680
! - crystal system = tetragonal
&SYSTEM
  ibrav = 0, nat = 5, ntyp = 4
/
ATOMIC_SPECIES
I 126.90 I.upf
Na 22.99 Na.upf
B 10.81 B.upf
Ga 69.72 Ga.upf
CELL_PARAMETERS angstrom
5.703 0.000 0.000
0.000 5.365 0.000
0.000 0.000 5.703
ATOMIC_POSITIONS crystal
I 0.000 0.000 0.000
Na 0.000 0.000 0.500
Na 0.500 0.000 0.000
B 0.000 0.500 0.000
Ga 0.500 0.500 0.500

***

(2)
! PBE-GGA Rb2GaBI6, optimized geometry; values from VASP
! - space-group type = I4/mmm, No. 139
! - size of the total moment (μB per atom) = 0.000
! - raw formation energy (meV per atom) = -410
! - E_tot (hartree per atom) = -0.0920
! - crystal system = tetragonal
&SYSTEM
  ibrav = 0, nat = 10, ntyp = 4
/
ATOMIC_SPECIES
I 126.90 I.upf
B 10.81 B.upf
Ga 69.72 Ga.upf
Rb 85.47 Rb.upf
CELL_PARAMETERS angstrom
8.003 0.000 0.000
0.000 8.003 0.000
4.001 4.001 5.653
ATOMIC_POSITIONS crystal
I 0.262 0.262 0.476
I 0.738 0.738 0.524
I 0.262 0.262 0.000
I 0.738 0.738 0.000
I 0.738 0.262 0.000
I 0.262 0.738 0.000
B 0.500 0.500 0.000
Ga 0.000 0.000 0.000
Rb 0.750 0.250 0.500
Rb 0.250 0.750 0.500

***

(3)
! PBE-GGA GaBSb2I, optimized geometry; values from VASP
! - polymorph energy (0 for the lowest one) (eV/atom) = 0.633
! - space-group type = P4/mmm, No. 123
! - size of the total moment (μB per atom) = 0.001
! - raw formation energy (meV per atom) = 1386
! - E_tot (hartree per atom) = -0.0924
! - crystal system = tetragonal
&SYSTEM
  ibrav = 0, nat = 5, ntyp = 4
/
ATOMIC_SPECIES
I 126.90 I.upf
Sb 121.76 Sb.upf
B 10.81 B.upf
Ga 69.72 Ga.upf
CELL_PARAMETERS angstrom
-2.888 -3.126 -3.177
-0.890 -3.305 4.061
-4.711 2.955 1.373
ATOMIC_POSITIONS crystal
I 0.000 0.000 0.500
Sb 0.000 0.500 0.000
Sb 0.500 0.000 0.000
B 0.500 0.500 0.500
Ga 0.000 0.000 0.000